1.
# BaSr3Pd, optimized geometry, DFT PBE
data_BaSr3Pd
_chemical_formula_sum 'Ba1 Sr3 Pd1'
_space_group_name_H-M_alt 'P 1'
_space_group_IT_number 1
_space_group_name_Hall 'P 1'
_cell_length_a 7.6065
_cell_length_b 7.6065
_cell_length_c 7.6065
_cell_angle_alpha 132.52
_cell_angle_beta 132.52
_cell_angle_gamma 69.41
loop_
_atom_site_label
_atom_site_fract_x
_atom_site_fract_y
_atom_site_fract_z
Ba1 0.7436 0.7436 0.0000
Pd1 0.9915 0.9915 0.0000
Sr1 0.2308 0.2308 0.0000
Sr2 0.9875 0.4875 0.5000
Sr3 0.4875 0.9875 0.5000
# SG = I4mm (107)
# distance to the lowest polymorph of the same formula = 0.0 meV/atom


2.
# GdTcPO, optimized geometry, DFT PBE
data_GdTcPO
_chemical_formula_sum 'Gd2 Tc2 P2 O2'
_space_group_name_H-M_alt 'P 1'
_space_group_IT_number 1
_space_group_name_Hall 'P 1'
_cell_length_a 4.1828
_cell_length_b 6.0259
_cell_length_c 5.7596
_cell_angle_alpha 90.00
_cell_angle_beta 90.00
_cell_angle_gamma 90.00
loop_
_atom_site_label
_atom_site_fract_x
_atom_site_fract_y
_atom_site_fract_z
Gd1 0.0000 0.1919 0.4113
Gd2 0.0000 0.8081 0.9113
O1 0.5000 0.3008 0.3864
O2 0.5000 0.6992 0.8864
P1 0.0000 0.7196 0.4082
P2 0.0000 0.2804 0.9082
Tc1 0.5000 0.4018 0.0481
Tc2 0.5000 0.5982 0.5481
# SG = Pmc2_1 (26)
# distance to the lowest polymorph of the same formula = 683.8 meV/atom


3.
# TbHoZn2As2O2, optimized geometry, DFT PBE
data_TbHoZn2As2O2
_chemical_formula_sum 'Tb1 Ho1 Zn2 As2 O2'
_space_group_name_H-M_alt 'P 1'
_space_group_IT_number 1
_space_group_name_Hall 'P 1'
_cell_length_a 3.9489
_cell_length_b 3.9489
_cell_length_c 8.8949
_cell_angle_alpha 90.00
_cell_angle_beta 90.00
_cell_angle_gamma 90.00
loop_
_atom_site_label
_atom_site_fract_x
_atom_site_fract_y
_atom_site_fract_z
As1 0.5000 0.5000 0.3165
As2 0.0000 0.0000 0.6838
Ho1 0.0000 0.0000 0.1216
O1 0.5000 0.0000 0.0015
O2 0.0000 0.5000 0.0015
Tb1 0.5000 0.5000 0.8760
Zn1 0.5000 0.0000 0.4996
Zn2 0.0000 0.5000 0.4996
# SG = P4mm (99)


| no. | energy (eV per atom) | volume (A^3/atom) |
| --- | --- | --- |
| 1 | -2.7297 | 46.908 |
| 2 | -7.5774 | 18.146 |
| 3 | -5.7017 | 17.338 |